# 1
Computed, not measured: a relaxed structure of HfFeSnPt at the PBE-GGA level of DFT.

Its calculated volume is 17.06 A^3/atom. Its uncorrected energy is -7.546 eV per atom.

It has space group F-43m (No. 216), with a = 6.4865 Å, b = 6.4865 Å, c = 6.4865 Å, α = 90.00°, β = 90.00° and γ = 90.00°. The distinct sites, in fractional coordinates, are Hf at (0.0000, 0.0000, 0.0000), Fe at (0.2500, 0.2500, 0.7500), Sn at (0.0000, 0.0000, 0.5000) and Pt at (0.2500, 0.2500, 0.2500).

=====

# 2
Computed, not measured: a relaxed structure of MgTcPO at the PBE-GGA level of DFT.

Its calculated volume is 12.91 A^3/atom. Its uncorrected energy is -5.676 eV per atom.

It has space group P4/nmm (No. 129, origin choice 2), with a = 3.5977 Å, b = 3.5977 Å, c = 7.9770 Å, α = 90.00°, β = 90.00° and γ = 90.00°. The distinct sites, in fractional coordinates, are Mg at (0.2500, 0.7500, 0.0000), Tc at (0.2500, 0.2500, 0.3422), P at (0.2500, 0.2500, 0.7737) and O at (0.2500, 0.7500, 0.5000).

=====

# 3
Computed, not measured: a relaxed structure of LiCdAsO at the PBE-GGA level of DFT.

Its calculated volume is 16.43 A^3/atom. Its uncorrected energy is -3.261 eV per atom.

It has space group P4/nmm (No. 129, origin choice 2), with a = 4.0254 Å, b = 4.0254 Å, c = 8.1110 Å, α = 90.00°, β = 90.00° and γ = 90.00°. The distinct sites, in fractional coordinates, are Li at (0.2500, 0.7500, 0.0000), Cd at (0.2500, 0.2500, 0.3754), As at (0.2500, 0.2500, 0.8033) and O at (0.2500, 0.7500, 0.5000).

=====

# 4
Computed, not measured: a relaxed structure of NbCoAsPd at the PBE-GGA level of DFT.

Its calculated volume is 14.89 A^3/atom. Its uncorrected energy is -6.871 eV per atom.

It has space group F-43m (No. 216), with a = 6.1997 Å, b = 6.1997 Å, c = 6.1997 Å, α = 90.00°, β = 90.00° and γ = 90.00°. The distinct sites, in fractional coordinates, are Nb at (0.0000, 0.0000, 0.0000), Co at (0.0000, 0.0000, 0.5000), As at (0.2500, 0.2500, 0.2500) and Pd at (0.2500, 0.2500, 0.7500).

=====

# 5
Computed, not measured: a relaxed structure of YNbPt at the PBE-GGA level of DFT.

Its calculated volume is 23.38 A^3/atom. Its uncorrected energy is -7.733 eV per atom. The calculation puts the formation energy at -0.195 eV/atom.

It has space group F-43m (No. 216), with a = 6.5462 Å, b = 6.5462 Å, c = 6.5462 Å, α = 90.00°, β = 90.00° and γ = 90.00°. The distinct sites, in fractional coordinates, are Y at (0.0000, 0.0000, 0.0000), Nb at (0.0000, 0.0000, 0.5000) and Pt at (0.2500, 0.2500, 0.7500).

=====

# 6
Computed, not measured: a relaxed structure of Gd2DyIn3Ir2Pd at the PBE-GGA level of DFT.

Its calculated volume is 21.85 A^3/atom. Its uncorrected energy is -5.750 eV per atom.

It has space group Amm2 (No. 38), with a = 3.9019 Å, b = 13.1910 Å, c = 7.6396 Å, α = 90.00°, β = 90.00° and γ = 90.00°. The distinct sites, in fractional coordinates, are Gd at (0.0000, 0.2055, 0.0000), Dy at (0.0000, 0.0000, 0.3849), In at (0.5000, 0.0000, 0.0553), In at (0.5000, 0.1294, 0.6647), Ir at (0.5000, 0.1658, 0.2956) and Pd at (0.0000, 0.0000, 0.7944).

=====

# 7
Computed, not measured: a relaxed structure of GdYCd3Ni2 at the PBE-GGA level of DFT.

Its calculated volume is 20.91 A^3/atom. Its uncorrected energy is -3.922 eV per atom. The calculation puts the formation energy at -0.359 eV/atom.

It has space group Amm2 (No. 38), with a = 3.6182 Å, b = 3.9404 Å, c = 20.5353 Å, α = 90.00°, β = 90.00° and γ = 90.00°. The distinct sites, in fractional coordinates, are Gd at (0.0000, 0.0000, 0.0000), Y at (0.0000, 0.0000, 0.6503), Cd at (0.0000, 0.0000, 0.8245), Cd at (0.5000, 0.0000, 0.2453), Cd at (0.5000, 0.0000, 0.4033), Ni at (0.5000, 0.0000, 0.1110) and Ni at (0.5000, 0.0000, 0.5380).

=====

# 8
Computed, not measured: a relaxed structure of LaHfPa at the PBE-GGA level of DFT.

Its calculated volume is 30.91 A^3/atom. Its uncorrected energy is -7.240 eV per atom. The calculation puts the formation energy at 0.884 eV/atom.

It has space group F-43m (No. 216), with a = 7.1851 Å, b = 7.1851 Å, c = 7.1851 Å, α = 90.00°, β = 90.00° and γ = 90.00°. The distinct sites, in fractional coordinates, are La at (0.0000, 0.0000, 0.0000), Hf at (0.2500, 0.2500, 0.2500) and Pa at (0.0000, 0.0000, 0.5000).

=====

# 9
Computed, not measured: a relaxed structure of NaSn2Pt2 at the PBE-GGA level of DFT.

Its calculated volume is 22.85 A^3/atom. Its uncorrected energy is -4.650 eV per atom.

It has space group I4/mmm (No. 139), with a = 4.3621 Å, b = 4.3621 Å, c = 12.0106 Å, α = 90.00°, β = 90.00° and γ = 90.00°. The distinct sites, in fractional coordinates, are Na at (0.0000, 0.0000, 0.0000), Sn at (0.0000, 0.0000, 0.3790) and Pt at (0.0000, 0.5000, 0.2500).

=====

# 10
Computed, not measured: a relaxed structure of Rb2Pm4Cu4Se9 at the PBE-GGA level of DFT.

Its calculated volume is 25.82 A^3/atom. Its uncorrected energy is -4.822 eV per atom.

It has space group C2/m (No. 12), with a = 14.6407 Å, b = 4.1917 Å, c = 16.9042 Å, α = 90.00°, β = 108.94° and γ = 90.00°. The distinct sites, in fractional coordinates, are Rb at (0.0297, 0.0000, 0.2705), Pm at (0.1551, 0.5000, 0.5554), Pm at (0.2305, 0.0000, 0.1025), Cu at (0.0756, 0.5000, 0.9717), Cu at (0.2428, 0.0000, 0.7288), Se at (0.0000, 0.0000, 0.5000), Se at (0.1042, 0.5000, 0.1274), Se at (0.1337, 0.0000, 0.9233), Se at (0.1517, 0.5000, 0.7240) and Se at (0.1991, 0.5000, 0.3950).

=====

# 11
Computed, not measured: a relaxed structure of SmDyPt at the PBE-GGA level of DFT.

Its calculated volume is 25.76 A^3/atom. Its uncorrected energy is -5.252 eV per atom. The calculation puts the formation energy at -0.130 eV/atom.

It has space group F-43m (No. 216), with a = 6.7618 Å, b = 6.7618 Å, c = 6.7618 Å, α = 90.00°, β = 90.00° and γ = 90.00°. The distinct sites, in fractional coordinates, are Sm at (0.0000, 0.0000, 0.0000), Dy at (0.2500, 0.2500, 0.7500) and Pt at (0.0000, 0.0000, 0.5000).

=====

# 12
Computed, not measured: a relaxed structure of ErTmMg6 at the PBE-GGA level of DFT.

Its calculated volume is 24.15 A^3/atom. Its uncorrected energy is -2.338 eV per atom.

It has space group P4/mmm (No. 123), with a = 5.1478 Å, b = 5.1478 Å, c = 7.2911 Å, α = 90.00°, β = 90.00° and γ = 90.00°. The distinct sites, in fractional coordinates, are Er at (0.0000, 0.0000, 0.0000), Tm at (0.5000, 0.5000, 0.5000), Mg at (0.0000, 0.0000, 0.5000), Mg at (0.0000, 0.5000, 0.2506) and Mg at (0.5000, 0.5000, 0.0000).